No. 1
This record from the Alexandria database describes crystalline Te2PbO6 at its relaxed geometry. The functional is GGA-PBE.

* DOS at the Fermi energy: 0.187 states/eV/atom
* volume: 16.67 Å³ per atom
* formation energy from raw total energies: -0.926 eV/atom
* distance to the lowest polymorph of the same formula: 0.059 eV/atom

POSCAR file:
```
Te2PbO6
1.0
-3.199 0.638 2.303
0.503 -2.879 4.960
2.202 4.842 5.179
Te O Pb
2 6 1
Direct
0.175 0.779 0.872
0.825 0.221 0.128
0.692 0.697 0.920
0.022 0.142 0.815
0.308 0.303 0.080
0.671 0.279 0.378
0.329 0.721 0.622
0.978 0.858 0.185
0.000 0.500 0.500
```



No. 2
This record from the Alexandria database describes crystalline NdEu2Zn at its relaxed geometry. The functional is GGA-PBE.

* DOS at the Fermi energy: 1.325 states/eV/atom
* ΔH_f (0 K): 0.14 eV per formula unit
* volume: 31.01 Å³ per atom
* distance to the lowest polymorph of the same formula: 0.117 eV/atom

POSCAR file:
```
NdEu2Zn
1.0
-3.764 2.405 -2.484
-0.434 -3.838 -3.058
-3.304 -2.042 3.030
Nd Zn Eu
1 1 2
Direct
0.500 0.500 0.500
0.500 0.000 0.000
0.000 0.500 0.000
0.000 0.000 0.500
```



No. 3
This record from the Alexandria database describes crystalline PrDyHoSc at its relaxed geometry. The functional is GGA-PBE.

* DOS at the Fermi energy: 1.565 states/eV/atom
* ΔH_f (0 K): 0.44 eV per formula unit
* volume: 30.82 Å³ per atom

POSCAR file:
```
PrDyHoSc
1.0
5.586 0.000 0.000
2.793 4.838 0.000
2.793 1.613 4.561
Sc Ho Pr Dy
1 1 1 1
Direct
0.000 0.000 0.000
0.500 0.500 0.500
0.750 0.750 0.750
0.250 0.250 0.250
```